Record 1
A plane-wave DFT calculation with PBE was carried out for a relaxed ZrVTc3 crystal.

* distance to the lowest polymorph of the same formula: 0.000 eV/atom
* formation energy: 623 meV per atom
* space-group type: Pm-3m (221)
* final energy: -9.130 eV per atom

Cell lengths 4.478, 4.478, 4.478 Å; angles 90.00, 90.00, 90.00 degrees
Fractional positions:
Tc  0.000  0.500  0.000
Tc  0.000  0.000  0.500
Tc  0.500  0.000  0.000
Zr  0.500  0.500  0.500
V  0.000  0.000  0.000

---

Record 2
A plane-wave DFT calculation with PBE was carried out for a relaxed KNaHgPb crystal.

* formation energy: -157 meV per atom
* space-group type: F-43m (216)
* final energy: -1.764 eV per atom

Cell lengths 5.523, 5.523, 5.523 Å; angles 60.00, 60.00, 60.00 degrees
Fractional positions:
Pb  0.000  0.000  0.000
Na  0.250  0.250  0.250
K  0.500  0.500  0.500
Hg  0.750  0.750  0.750

---

Record 3
A plane-wave DFT calculation with PBE was carried out for a relaxed Mg5AgPd4 crystal.

* formation energy: -637 meV per atom
* space-group type: P4/mmm (123)
* final energy: -3.797 eV per atom

Cell lengths 3.201, 3.201, 16.240 Å; angles 90.00, 90.00, 90.00 degrees
Fractional positions:
Mg  0.500  0.500  0.113
Mg  0.500  0.500  0.306
Mg  0.500  0.500  0.500
Mg  0.500  0.500  0.694
Mg  0.500  0.500  0.887
Ag  0.000  0.000  0.000
Pd  0.000  0.000  0.209
Pd  0.000  0.000  0.404
Pd  0.000  0.000  0.596
Pd  0.000  0.000  0.791

---

Record 4
A plane-wave DFT calculation with PBE was carried out for a relaxed ScFe2Te crystal.

* space-group type: P4/mmm (123)
* final energy: -6.591 eV per atom

Cell lengths 3.490, 3.490, 5.642 Å; angles 90.00, 90.00, 90.00 degrees
Last column: magnetic moment on the atom in μB.
Fractional positions:
Fe  0.000  0.000  0.995  2.50
Fe  0.000  0.000  0.505  2.50
Sc  0.500  0.500  0.250  -0.36
Te  0.500  0.500  0.750  0.07

---

Record 5
A plane-wave DFT calculation with PBE was carried out for a relaxed PaCd2F11 crystal.

* space-group type: Ibam (72)
* final energy: -4.828 eV per atom

Cell lengths 8.437, 8.700, 8.700 Å; angles 74.16, 60.99, 60.99 degrees
Fractional positions:
Pa  0.750  0.750  0.750
Pa  0.250  0.250  0.250
Cd  0.716  0.722  0.278
Cd  0.284  0.278  0.722
Cd  0.784  0.222  0.778
Cd  0.216  0.778  0.222
F  0.678  0.718  0.550
F  0.322  0.282  0.450
F  0.054  0.550  0.718
F  0.822  0.950  0.782
F  0.946  0.450  0.282
F  0.178  0.050  0.218
F  0.446  0.782  0.950
F  0.554  0.218  0.050
F  0.500  0.500  0.500
F  0.000  0.000  0.000
F  0.948  0.841  0.159
F  0.052  0.159  0.841
F  0.552  0.341  0.659
F  0.448  0.659  0.341
F  0.465  0.987  0.299
F  0.535  0.013  0.701
F  0.249  0.299  0.987
F  0.035  0.201  0.513
F  0.751  0.701  0.013
F  0.965  0.799  0.487
F  0.251  0.513  0.201
F  0.749  0.487  0.799

---

Record 6
A plane-wave DFT calculation with PBE was carried out for a relaxed Na2Te4Pt crystal.

* space-group type: I4/mmm (139)
* final energy: -3.232 eV per atom

Cell lengths 5.548, 5.548, 8.508 Å; angles 70.97, 70.97, 90.00 degrees
Fractional positions:
Na  0.378  0.378  0.243
Na  0.622  0.622  0.757
Te  0.171  0.171  0.657
Te  0.829  0.829  0.343
Te  0.000  0.500  0.000
Te  0.500  0.000  0.000
Pt  0.000  0.000  0.000

---

What did the first record say?
A plane-wave DFT calculation with PBE was carried out for a relaxed ZrVTc3 crystal.

* distance to the lowest polymorph of the same formula: 0.000 eV/atom
* formation energy: 623 meV per atom
* space-group type: Pm-3m (221)
* final energy: -9.130 eV per atom

Cell lengths 4.478, 4.478, 4.478 Å; angles 90.00, 90.00, 90.00 degrees
Fractional positions:
Tc  0.000  0.500  0.000
Tc  0.000  0.000  0.500
Tc  0.500  0.000  0.000
Zr  0.500  0.500  0.500
V  0.000  0.000  0.000

---

Look up the final energy of the fifth one.
-4.828 eV per atom

---

Number 3 is which compound?
Mg5AgPd4

---

Which value of final energy does entry 2 give?
-1.764 eV per atom